A plane-wave DFT calculation with PBE-GGA was carried out for a relaxed structure of NdGa3Co.

It has space group I4mm (No. 107), with a = 4.256 Å, b = 4.256 Å, c = 10.222 Å, α = 90.00°, β = 90.00° and γ = 90.00°. Symmetry generates all atoms from Nd at (0.000, 0.000, 0.000), Ga at (0.000, 0.000, 0.587), Ga at (0.000, 0.500, 0.256) and Co at (0.000, 0.000, 0.361).

A plane-wave DFT calculation with PBE-GGA was carried out for a relaxed structure of Nd3GaCo3.

It has space group Cmcm (No. 63), with a = 4.208 Å, b = 10.235 Å, c = 13.179 Å, α = 90.00°, β = 90.00° and γ = 90.00°. Symmetry generates all atoms from Nd at (0.000, 0.001, 0.250), Nd at (0.000, 0.291, 0.103), Ga at (0.000, 0.000, 0.000), Co at (0.000, 0.309, 0.750) and Co at (0.000, 0.419, 0.595).

A plane-wave DFT calculation with PBE-GGA was carried out for a relaxed structure of NdGaCo.

It has space group Pnma (No. 62), with a = 6.960 Å, b = 4.332 Å, c = 7.512 Å, α = 90.00°, β = 90.00° and γ = 90.00°. Symmetry generates all atoms from Nd at (0.024, 0.250, 0.191), Ga at (0.167, 0.250, 0.577) and Co at (0.203, 0.750, 0.401).

A plane-wave DFT calculation with PBE-GGA was carried out for a relaxed structure of Pr2NdGa2Co4.

It has space group C2/m (No. 12), with a = 10.222 Å, b = 4.119 Å, c = 8.229 Å, α = 90.00°, β = 100.02° and γ = 90.00°. Symmetry generates all atoms from Pr at (0.128, 0.000, 0.374), Nd at (0.000, 0.500, 0.000), Ga at (0.176, 0.000, 0.780), Co at (0.077, 0.500, 0.629) and Co at (0.245, 0.000, 0.081).

A plane-wave DFT calculation with PBE-GGA was carried out for a relaxed structure of Nd3GaCoS7.

It has space group P6_3 (No. 173), with a = 9.8420 Å, b = 9.8420 Å, c = 6.1926 Å, α = 90.00°, β = 90.00° and γ = 120.00°. Symmetry generates all atoms from Nd at (0.1547, 0.3735, 0.0000), Ga at (0.3333, 0.6667, 0.5771), Co at (0.0000, 0.0000, 0.1641), S at (0.0888, 0.5683, 0.7241), S at (0.0914, 0.2168, 0.4107) and S at (0.3333, 0.6667, 0.2130).

A plane-wave DFT calculation with PBE-GGA was carried out for a relaxed structure of Nd3GaCoSe7.

It has space group P6_3 (No. 173), with a = 10.2303 Å, b = 10.2303 Å, c = 6.5672 Å, α = 90.00°, β = 90.00° and γ = 120.00°. Symmetry generates all atoms from Nd at (0.1609, 0.7872, 0.0000), Ga at (0.3333, 0.6667, 0.4183), Co at (0.0000, 0.0000, 0.3408), Se at (0.0829, 0.5218, 0.2736), Se at (0.0967, 0.8760, 0.5938) and Se at (0.3333, 0.6667, 0.7846).

A plane-wave DFT calculation with PBE-GGA was carried out for a relaxed structure of Ga5CoNi2.

It has space group Amm2 (No. 38), with a = 4.360 Å, b = 5.374 Å, c = 9.105 Å, α = 90.00°, β = 90.00° and γ = 90.00°. Symmetry generates all atoms from Ga at (0.000, 0.000, 0.000), Ga at (0.000, 0.240, 0.735), Ga at (0.500, 0.239, 0.420), Co at (0.500, 0.000, 0.674), Ni at (0.000, 0.000, 0.483) and Ni at (0.500, 0.000, 0.157).

A plane-wave DFT calculation with PBE-GGA was carried out for a relaxed structure of GaCoNiOs.

It has space group F-43m (No. 216), with a = 5.863 Å, b = 5.863 Å, c = 5.863 Å, α = 90.00°, β = 90.00° and γ = 90.00°. Symmetry generates all atoms from Ga at (0.000, 0.000, 0.000), Co at (0.250, 0.250, 0.250), Ni at (0.250, 0.250, 0.750) and Os at (0.000, 0.000, 0.500).

A plane-wave DFT calculation with PBE-GGA was carried out for a relaxed structure of GaCoNiOs.

It has space group F-43m (No. 216), with a = 5.858 Å, b = 5.858 Å, c = 5.858 Å, α = 90.00°, β = 90.00° and γ = 90.00°. Symmetry generates all atoms from Ga at (0.000, 0.000, 0.000), Co at (0.250, 0.250, 0.250), Ni at (0.000, 0.000, 0.500) and Os at (0.250, 0.250, 0.750).

A plane-wave DFT calculation with PBE-GGA was carried out for a relaxed structure of GaCoNiPd.

It has space group F-43m (No. 216), with a = 5.902 Å, b = 5.902 Å, c = 5.902 Å, α = 90.00°, β = 90.00° and γ = 90.00°. Symmetry generates all atoms from Ga at (0.000, 0.000, 0.000), Co at (0.250, 0.250, 0.250), Ni at (0.000, 0.000, 0.500) and Pd at (0.250, 0.250, 0.750).

A plane-wave DFT calculation with PBE-GGA was carried out for a relaxed structure of GaCoNiPd.

It has space group F-43m (No. 216), with a = 5.928 Å, b = 5.928 Å, c = 5.928 Å, α = 90.00°, β = 90.00° and γ = 90.00°. Symmetry generates all atoms from Ga at (0.000, 0.000, 0.000), Co at (0.000, 0.000, 0.500), Ni at (0.250, 0.250, 0.250) and Pd at (0.250, 0.250, 0.750).

A plane-wave DFT calculation with PBE-GGA was carried out for a relaxed structure of GaCoReNi.

It has space group F-43m (No. 216), with a = 5.856 Å, b = 5.856 Å, c = 5.856 Å, α = 90.00°, β = 90.00° and γ = 90.00°. Symmetry generates all atoms from Ga at (0.000, 0.000, 0.000), Co at (0.250, 0.250, 0.250), Re at (0.000, 0.000, 0.500) and Ni at (0.250, 0.250, 0.750).

Table of electronic total energy (eV for the cell shown), in record order: -46.80, -160.78, -64.20, -102.43, -141.84, -129.01, -68.87, -105.62, -106.21, -86.40, -85.90, -110.87